This record from Alexandria via LeMat-Bulk describes a geometry-optimized YNi2Os structure. The functional is GGA-PBEsol.

The structure belongs to space group I-4m2 (No. 119); the cell edges are 3.818, 3.818 and 8.094 Å and the angles 90.00°, 90.00° and 90.00°. Symmetry generates all atoms from Y at (0.000, 0.000, 0.000), Ni at (0.000, 0.000, 0.500), Ni at (0.000, 0.500, 0.250) and Os at (0.000, 0.500, 0.750).

Its density of states at the Fermi level is 10.59 states/eV/cell. Its crystal system is tetragonal. Its energy above the most stable polymorph in this dataset is 335.5 meV/atom.